No. 1
Compound: CrCl3
Source: the Alexandria database
Functional: PBEsol
Structure: optimized geometry

POSCAR file:
```
CrCl3
1.0
5.928 0.000 0.000
-2.964 5.134 0.000
0.000 0.000 19.464
Cr Cl
6 18
Cartesian
3.950 2.281 0.000
4.941 0.570 12.976
1.978 2.281 12.976
2.964 3.994 6.488
0.987 0.570 0.000
2.964 0.572 6.488
-1.056 4.114 5.169
3.814 2.284 7.808
1.057 0.452 7.808
0.071 2.162 14.295
3.035 0.689 14.296
2.114 2.284 5.168
-1.127 3.991 1.319
4.871 0.452 5.168
0.920 0.689 11.656
3.884 2.161 11.656
3.101 3.992 18.144
5.008 0.689 1.320
2.827 3.992 14.296
2.893 0.689 18.144
2.043 2.161 1.320
1.056 4.114 7.807
-0.071 2.162 18.145
1.127 3.991 11.657
```

**Magnetic moment**: 18.0 μB per cell

---

No. 2
Compound: Cs2CrCl4
Source: the Alexandria database
Functional: PBEsol
Structure: optimized geometry

POSCAR file:
```
Cs2CrCl4
1.0
5.029 0.000 0.000
0.000 5.029 0.000
-2.515 -2.515 8.238
Cr Cl Cs
1 4 2
Cartesian
0.000 0.000 0.000
2.515 0.000 0.000
0.000 2.515 0.000
0.000 0.000 2.409
2.515 2.515 5.828
0.000 0.000 5.894
2.515 2.515 2.344
```

**Magnetic moment**: 4.0 μB per cell
**DOS at the Fermi energy**: 0.8 states/eV/cell

---

No. 3
Compound: Cs2CrH8Cl5O4
Source: the Alexandria database
Functional: PBEsol
Structure: optimized geometry

POSCAR file:
```
Cs2CrH8Cl5O4
1.0
6.014 0.000 0.000
3.007 9.528 -0.024
3.007 2.847 12.139
H O Cl Cs Cr
16 8 10 4 2
Cartesian
6.962 4.554 5.957
4.586 4.109 6.129
4.453 4.344 10.584
5.067 7.821 6.158
8.074 10.741 12.014
7.054 3.878 10.750
4.453 4.691 7.612
7.443 8.266 5.986
4.975 8.496 1.364
4.975 7.219 4.669
3.955 1.633 0.100
7.576 7.684 4.503
4.586 4.925 12.067
7.576 8.031 1.531
7.443 7.450 0.047
7.054 5.156 7.446
3.944 4.572 6.759
7.292 5.343 6.495
4.737 7.032 5.620
7.292 3.691 11.701
3.944 4.462 11.436
8.084 7.803 5.355
8.084 7.913 0.678
4.737 8.684 0.413
9.074 7.126 8.145
5.942 4.517 9.098
5.965 2.999 5.203
2.958 3.188 0.854
9.071 9.186 11.260
6.067 11.437 10.027
5.962 0.938 2.088
6.087 7.858 3.017
6.064 9.376 6.912
2.955 5.249 3.969
5.953 4.524 2.085
2.946 1.664 3.972
9.083 10.711 8.143
6.076 7.851 10.029
3.007 6.187 6.057
0.000 0.000 0.000
```

**Magnetic moment**: 6.0 μB per cell
**DOS at the Fermi energy**: 0.0 states/eV/cell

---

| no. | raw total energy (eV per atom) |
| --- | --- |
| 1 | -5.1542 |
| 2 | -4.4462 |
| 3 | -4.7609 |